Entry 1:
Density functional theory data (GGA-PBE) for a geometry-optimized Y4ErN5 structure.

Geometry as extended XYZ:
```
10
Lattice="-3.8777 3.8777 2.4524 3.8777 -3.8777 2.4524 3.8777 3.8777 -2.4524" Properties=species:S:1:pos:R:3 pbc="T T T"
Y 5.4316 0.7768 0.0000
Y 0.7768 2.3238 0.0000
Y 3.1008 1.5539 2.4524
Y -1.5539 3.1008 2.4524
Er 0.0000 0.0000 2.4524
N 0.0000 0.0000 0.0000
N 3.1094 1.5675 0.0000
N 2.3102 -0.7682 2.4524
N 1.5675 4.6459 0.0000
N 0.7682 2.3102 2.4524
```

Output
E_form (uncorrected) (meV/atom): -1711
Magnetic moment (Bohr magnetons per cell): 0.00



Entry 2:
Density functional theory data (GGA-PBE) for a geometry-optimized SmLuZnFe structure.

Geometry as extended XYZ:
```
16
Lattice="6.9372 0.0000 0.0000 0.0000 6.9372 0.0000 0.0000 0.0000 6.9372" Properties=species:S:1:pos:R:3 pbc="T T T"
Sm 0.0000 0.0000 0.0000
Sm 0.0000 3.4686 3.4686
Sm 3.4686 0.0000 3.4686
Sm 3.4686 3.4686 0.0000
Lu 0.0000 0.0000 3.4686
Lu 0.0000 3.4686 0.0000
Lu 3.4686 0.0000 0.0000
Lu 3.4686 3.4686 3.4686
Zn 1.7343 1.7343 1.7343
Zn 1.7343 5.2029 5.2029
Zn 5.2029 1.7343 5.2029
Zn 5.2029 5.2029 1.7343
Fe 1.7343 1.7343 5.2029
Fe 1.7343 5.2029 1.7343
Fe 5.2029 1.7343 1.7343
Fe 5.2029 5.2029 5.2029
```

Output
Magnetic moment (Bohr magnetons per cell): 5.00
Energy of formation from the pure elements (meV/atom): -61



Entry 3:
Density functional theory data (GGA-PBE) for a geometry-optimized PuCoSn structure.

Geometry as extended XYZ:
```
6
Lattice="3.1814 0.0000 0.0000 0.0000 3.1814 0.0000 0.0000 0.0000 11.5891" Properties=species:S:1:pos:R:3 pbc="T T T"
Pu 0.0000 0.0000 0.0000
Pu 1.5907 1.5907 5.7946
Co 0.0000 0.0000 3.9586
Co 1.5907 1.5907 9.7532
Sn 0.0000 0.0000 8.2697
Sn 1.5907 1.5907 2.4751
```

Output
Magnetic moment (Bohr magnetons per cell): 9.42
Energy of formation from the pure elements (meV/atom): -85



Entry 4:
Density functional theory data (GGA-PBE) for a geometry-optimized Y3MnC structure.

Geometry as extended XYZ:
```
5
Lattice="4.9258 0.0000 0.0000 0.0000 4.9258 0.0000 0.0000 0.0000 4.9258" Properties=species:S:1:pos:R:3 pbc="T T T"
Y 0.0000 0.0000 2.4629
Y 0.0000 2.4629 0.0000
Y 2.4629 0.0000 0.0000
Mn 2.4629 2.4629 2.4629
C 0.0000 0.0000 0.0000
```

Output
Magnetic moment (Bohr magnetons per cell): 5.52
Distance to the lowest polymorph of the same formula (meV/atom): 0
Energy of formation from the pure elements (meV/atom): 39



Entry 5:
Density functional theory data (GGA-PBE) for a geometry-optimized Tb5Pm4Sm2 structure.

Geometry as extended XYZ:
```
11
Lattice="12.0530 -1.7420 0.0000 12.0530 1.7420 0.0000 -1.0415 0.0000 8.7709" Properties=species:S:1:pos:R:3 pbc="T T T"
Tb 0.0000 0.0000 0.0000
Tb 6.2872 0.0000 1.5151
Tb 7.7169 0.0000 7.7532
Tb 15.3476 0.0000 1.0177
Tb 16.7773 0.0000 7.2558
Pm 3.8103 0.0000 4.1260
Pm 10.2801 0.0000 5.6226
Pm 12.7844 0.0000 3.1483
Pm 19.2542 0.0000 4.6449
Sm 9.6083 0.0000 2.2953
Sm 13.4563 0.0000 6.4756
```

Output
Magnetic moment (Bohr magnetons per cell): 0.00
Distance to the lowest polymorph of the same formula (meV/atom): 0
Energy of formation from the pure elements (meV/atom): 143



Entry 6:
Density functional theory data (GGA-PBE) for a geometry-optimized TePPt structure.

Geometry as extended XYZ:
```
3
Lattice="3.8293 0.0000 0.0000 -1.9147 3.3163 0.0000 0.0000 0.0000 4.8756" Properties=species:S:1:pos:R:3 pbc="T T T"
Te 0.0000 0.0000 0.0000
P 0.0000 2.2109 2.2741
Pt 1.9147 1.1054 3.3114
```

Output
E_form (uncorrected) (meV/atom): -251
Magnetic moment (Bohr magnetons per cell): 0.00
Distance to the lowest polymorph of the same formula (meV/atom): 80



Q: Which value of magnetic moment does entry 4 give?
A: 5.52 Bohr magnetons per cell